VASP calculation (GGA+U) on Ba2MnTc3O12 after structural relaxation.

Computed properties:
Final energy = -7.347 eV/atom
Total magnetization = 7.98 μB/cell
Crystal system = trigonal

Cell: 7.080 7.080 7.080 Å, 62.35 62.35 62.35°
Atoms (fractional coordinates):
Ba  0.160  0.160  0.160
Ba  0.840  0.840  0.840
Mn  0.500  0.500  0.500
Tc  0.000  0.500  0.500
Tc  0.500  0.000  0.500
Tc  0.500  0.500  0.000
O  0.178  0.178  0.560
O  0.178  0.560  0.178
O  0.178  0.572  0.572
O  0.428  0.428  0.822
O  0.428  0.822  0.428
O  0.440  0.822  0.822
O  0.560  0.178  0.178
O  0.572  0.178  0.572
O  0.572  0.572  0.178
O  0.822  0.428  0.428
O  0.822  0.440  0.822
O  0.822  0.822  0.440



VASP calculation (GGA+U) on Ba3MnTc2O9 after structural relaxation.

Computed properties:
Final energy = -7.344 eV/atom
Total magnetization = 5.05 μB/cell
Crystal system = trigonal

Cell: 5.794 5.794 7.123 Å, 90.00 90.00 120.00°
Atoms (fractional coordinates):
Ba  0.000  0.000  0.000
Ba  0.333  0.667  0.656
Ba  0.667  0.333  0.344
Mn  0.000  0.000  0.500
Tc  0.333  0.667  0.159
Tc  0.667  0.333  0.841
O  0.000  0.500  0.000
O  0.175  0.350  0.319
O  0.175  0.825  0.319
O  0.350  0.175  0.681
O  0.500  0.000  0.000
O  0.500  0.500  0.000
O  0.650  0.825  0.319
O  0.825  0.175  0.681
O  0.825  0.650  0.681



VASP calculation (GGA+U) on BaMnTe2O8 after structural relaxation.

Computed properties:
Final energy = -6.011 eV/atom
Total magnetization = 5.00 μB/cell
Crystal system = triclinic

Cell: 5.367 5.385 8.114 Å, 87.03 86.94 68.01°
Atoms (fractional coordinates):
Ba  0.000  0.000  0.000
Mn  0.000  0.000  0.500
Te  0.371  0.371  0.289
Te  0.629  0.629  0.711
O  0.234  0.743  0.295
O  0.235  0.235  0.468
O  0.256  0.765  0.705
O  0.298  0.295  0.082
O  0.702  0.705  0.918
O  0.744  0.235  0.295
O  0.765  0.765  0.532
O  0.766  0.257  0.705



VASP calculation (GGA+U) on Ba2MnTe2O6 after structural relaxation.

Computed properties:
Final energy = -5.916 eV/atom
Total magnetization = 5.03 μB/cell
Crystal system = monoclinic

Cell: 6.297 6.297 6.350 Å, 111.63 111.63 64.17°
Atoms (fractional coordinates):
Ba  0.187  0.187  0.121
Ba  0.813  0.813  0.879
Mn  0.000  0.000  0.500
Te  0.428  0.428  0.733
Te  0.572  0.572  0.267
O  0.201  0.787  0.762
O  0.213  0.799  0.238
O  0.248  0.248  0.748
O  0.752  0.752  0.252
O  0.787  0.201  0.762
O  0.799  0.213  0.238



VASP calculation (GGA+U) on Ba2MnTeO6 after structural relaxation.

Computed properties:
Final energy = -6.480 eV/atom
Total magnetization = 5.00 μB/cell
Crystal system = cubic

Cell: 5.895 5.895 5.895 Å, 60.00 60.00 60.00°
Atoms (fractional coordinates):
Ba  0.250  0.250  0.250
Ba  0.750  0.750  0.750
Mn  0.000  0.000  0.000
Te  0.500  0.500  0.500
O  0.264  0.264  0.736
O  0.264  0.736  0.264
O  0.264  0.736  0.736
O  0.736  0.264  0.264
O  0.736  0.264  0.736
O  0.736  0.736  0.264



VASP calculation (GGA+U) on BaMn2TeO8 after structural relaxation.

Computed properties:
Final energy = -6.262 eV/atom
Total magnetization = 6.00 μB/cell
Crystal system = trigonal

Cell: 5.364 5.364 7.458 Å, 90.00 90.00 120.00°
Atoms (fractional coordinates):
Ba  0.000  0.000  0.000
Mn  0.333  0.667  0.712
Mn  0.667  0.333  0.288
Te  0.000  0.000  0.500
O  0.023  0.300  0.658
O  0.276  0.977  0.658
O  0.300  0.276  0.342
O  0.333  0.667  0.941
O  0.667  0.333  0.059
O  0.700  0.724  0.658
O  0.724  0.023  0.342
O  0.977  0.700  0.342



VASP calculation (GGA+U) on Ba3ThMn2O9 after structural relaxation.

Computed properties:
Final energy = -7.276 eV/atom
Total magnetization = 6.05 μB/cell
Crystal system = trigonal

Cell: 5.849 5.849 7.325 Å, 90.00 90.00 120.00°
Atoms (fractional coordinates):
Ba  0.000  0.000  0.000
Ba  0.333  0.667  0.700
Ba  0.667  0.333  0.300
Th  0.000  0.000  0.500
Mn  0.333  0.667  0.159
Mn  0.667  0.333  0.841
O  0.000  0.500  0.000
O  0.178  0.357  0.313
O  0.178  0.822  0.313
O  0.357  0.178  0.687
O  0.500  0.000  0.000
O  0.500  0.500  0.000
O  0.643  0.822  0.313
O  0.822  0.178  0.687
O  0.822  0.643  0.687



VASP calculation (GGA+U) on BaTi2Mn2O7 after structural relaxation.

Computed properties:
Final energy = -8.197 eV/atom
Total magnetization = 10.00 μB/cell
Crystal system = orthorhombic

Cell: 8.651 8.651 8.651 Å, 153.68 44.85 144.35°
Atoms (fractional coordinates):
Ba  0.000  0.000  0.000
Ti  0.374  0.986  0.389
Ti  0.597  0.986  0.611
Mn  0.199  0.462  0.737
Mn  0.724  0.462  0.263
O  0.134  0.861  0.273
O  0.310  0.427  0.883
O  0.352  0.852  0.500
O  0.544  0.427  0.117
O  0.588  0.861  0.727
O  0.715  0.326  0.389
O  0.937  0.326  0.611



VASP calculation (GGA+U) on Ba2TiMnO6 after structural relaxation.

Computed properties:
Final energy = -7.444 eV/atom
Total magnetization = 6.03 μB/cell
Crystal system = trigonal

Cell: 9.983 9.983 9.983 Å, 33.58 33.58 33.58°
Atoms (fractional coordinates):
Ba  0.129  0.129  0.129
Ba  0.285  0.285  0.285
Ba  0.715  0.715  0.715
Ba  0.871  0.871  0.871
Ti  0.407  0.407  0.407
Ti  0.593  0.593  0.593
Mn  0.000  0.000  0.000
Mn  0.500  0.500  0.500
O  0.159  0.605  0.605
O  0.203  0.203  0.711
O  0.203  0.711  0.203
O  0.289  0.797  0.797
O  0.395  0.395  0.841
O  0.395  0.841  0.395
O  0.605  0.159  0.605
O  0.605  0.605  0.159
O  0.711  0.203  0.203
O  0.797  0.289  0.797
O  0.797  0.797  0.289
O  0.841  0.395  0.395



VASP calculation (GGA+U) on BaTi18Mn3O38 after structural relaxation.

Computed properties:
Final energy = -8.806 eV/atom
Total magnetization = 19.16 μB/cell
Crystal system = trigonal

Cell: 9.299 9.299 9.299 Å, 68.80 68.80 68.80°
Atoms (fractional coordinates):
Ba  0.000  0.000  0.000
Ti  0.021  0.124  0.348
Ti  0.087  0.467  0.640
Ti  0.124  0.348  0.021
Ti  0.149  0.714  0.315
Ti  0.286  0.685  0.851
Ti  0.315  0.149  0.714
Ti  0.348  0.021  0.124
Ti  0.360  0.913  0.533
Ti  0.467  0.640  0.087
Ti  0.533  0.360  0.913
Ti  0.640  0.087  0.467
Ti  0.652  0.979  0.876
Ti  0.685  0.851  0.286
Ti  0.714  0.315  0.149
Ti  0.851  0.286  0.685
Ti  0.876  0.652  0.979
Ti  0.913  0.533  0.360
Ti  0.979  0.876  0.652
Mn  0.310  0.310  0.310
Mn  0.500  0.500  0.500
Mn  0.690  0.690  0.690
O  0.011  0.486  0.856
O  0.061  0.761  0.846
O  0.074  0.702  0.544
O  0.075  0.244  0.706
O  0.132  0.490  0.393
O  0.144  0.989  0.514
O  0.154  0.939  0.239
O  0.212  0.212  0.212
O  0.239  0.154  0.939
O  0.244  0.706  0.075
O  0.294  0.925  0.756
O  0.298  0.456  0.926
O  0.306  0.376  0.627
O  0.373  0.694  0.624
O  0.376  0.627  0.306
O  0.393  0.132  0.490
O  0.456  0.926  0.298
O  0.486  0.856  0.011
O  0.490  0.393  0.132
O  0.510  0.607  0.868
O  0.514  0.144  0.989
O  0.544  0.074  0.702
O  0.607  0.868  0.510
O  0.624  0.373  0.694
O  0.627  0.306  0.376
O  0.694  0.624  0.373
O  0.702  0.544  0.074
O  0.706  0.075  0.244
O  0.756  0.294  0.925
O  0.761  0.846  0.061
O  0.788  0.788  0.788
O  0.846  0.061  0.761
O  0.856  0.011  0.486
O  0.868  0.510  0.607
O  0.925  0.756  0.294
O  0.926  0.298  0.456
O  0.939  0.239  0.154
O  0.989  0.514  0.144



VASP calculation (GGA+U) on Ba2MnTlO5 after structural relaxation.

Computed properties:
Final energy = -6.006 eV/atom
Total magnetization = 7.86 μB/cell
Crystal system = orthorhombic

Cell: 7.453 7.453 11.987 Å, 90.00 90.00 150.35°
Atoms (fractional coordinates):
Ba  0.092  0.908  0.500
Ba  0.142  0.858  0.178
Ba  0.858  0.142  0.678
Ba  0.908  0.092  0.000
Mn  0.226  0.774  0.889
Mn  0.774  0.226  0.389
Tl  0.412  0.588  0.254
Tl  0.588  0.412  0.754
O  0.087  0.913  0.855
O  0.283  0.717  0.412
O  0.311  0.689  0.114
O  0.349  0.651  0.843
O  0.481  0.519  0.626
O  0.519  0.481  0.126
O  0.651  0.349  0.343
O  0.689  0.311  0.614
O  0.717  0.283  0.912
O  0.913  0.087  0.355



VASP calculation (GGA+U) on Ba3MnTl2O8 after structural relaxation.

Computed properties:
Final energy = -5.694 eV/atom
Total magnetization = 2.92 μB/cell
Crystal system = trigonal

Cell: 5.909 5.909 7.889 Å, 90.00 90.00 120.00°
Atoms (fractional coordinates):
Ba  0.000  0.000  0.000
Ba  0.333  0.667  0.626
Ba  0.667  0.333  0.374
Mn  0.000  0.000  0.500
Tl  0.333  0.667  0.199
Tl  0.667  0.333  0.801
O  0.153  0.306  0.349
O  0.153  0.847  0.349
O  0.306  0.153  0.651
O  0.333  0.667  0.942
O  0.667  0.333  0.058
O  0.694  0.847  0.349
O  0.847  0.153  0.651
O  0.847  0.694  0.651